A geometry-optimized LaNdCuNi structure, computed with GGA-PBE.

Calculated values
- Total moment: 0.000 μB/cell
- Polymorph energy (0 for the lowest one): 0.00 kJ/mol of atoms
- DOS at the Fermi energy: 4.1 states/eV/f.u.

a = 3.867 Å, b = 4.465 Å, c = 5.790 Å
α = 90.00°, β = 109.50°, γ = 90.00°
Sites, in units of the cell vectors:
La1 0.861 0.500 0.722
Nd1 0.136 0.000 0.271
Cu1 0.568 0.500 0.136
Ni1 0.435 0.000 0.870



A geometry-optimized NaTmGa4 structure, computed with GGA-PBE.

Calculated values
- Total moment: 0.000 μB/cell
- DOS at the Fermi energy: 3.7 states/eV/f.u.

a = 5.510 Å, b = 5.510 Å, c = 5.510 Å
α = 60.00°, β = 60.00°, γ = 60.00°
Sites, in units of the cell vectors:
Na1 0.250 0.250 0.250
Tm1 0.000 0.000 0.000
Ga1 0.625 0.625 0.124
Ga2 0.625 0.124 0.625
Ga3 0.625 0.625 0.625
Ga4 0.124 0.625 0.625



no.,calculated volume (Å³ per cell),raw total energy (eV/atom),formation enthalpy at 0 K (kJ/mol of atoms)
1,94,-5.14,-24
2,118,-3.27,-28